Here is an optimized crystal structure of TaCdBr2 from the Alexandria database. Energies are from PBE.

Cell and atoms, written as CIF:
```
data_TaCdBr2
_space_group_name_H-M_alt 'C m m m'
_space_group_IT_number 65
_space_group_name_Hall '-C 2 2'
_cell_length_a 6.395
_cell_length_b 8.489
_cell_length_c 3.249
_cell_angle_alpha 90.00
_cell_angle_beta 90.00
_cell_angle_gamma 90.00
loop_
_atom_site_label
_atom_site_type_symbol
_atom_site_fract_x
_atom_site_fract_y
_atom_site_fract_z
Ta1 Ta 0.000 0.000 0.000
Cd1 Cd 0.000 0.500 0.000
Br1 Br 0.250 0.250 0.500
```

## Properties
energy relative to the elements, uncorrected	2.520	eV/f.u.
VASP energy	-3.40	eV per atom